(1)
Material: Zr4ZnSnN2
Method: DFT, GGA-PBE
State: optimized geometry

Calculated values
Electronic total energy: -64.37 eV for the cell shown

CIF file:
```
data_Zr4ZnSnN2
_chemical_formula_sum 'Zr4 Zn1 Sn1 N2'
_symmetry_space_group_name_H-M 'P -6 m 2'
_symmetry_Int_Tables_number 187
_symmetry_space_group_name_Hall 'P -6 2'
_cell_length_a 3.3055
_cell_length_b 3.3055
_cell_length_c 14.2998
_cell_angle_alpha 90.00
_cell_angle_beta 90.00
_cell_angle_gamma 120.00
loop_
_atom_site_label
_atom_site_fract_x
_atom_site_fract_y
_atom_site_fract_z
Zr1 0.0000 0.0000 0.1565
Zr2 0.3333 0.6667 0.3313
Zn1 0.3333 0.6667 0.0000
Sn1 0.0000 0.0000 0.5000
N1 0.6667 0.3333 0.2415
```


(2)
Material: NaTmTc
Method: DFT, GGA-PBE
State: optimized geometry

Calculated values
E above lowest polymorph: 0.025 eV/atom

CIF file:
```
data_NaTmTc
_chemical_formula_sum 'Na4 Tm4 Tc4'
_symmetry_space_group_name_H-M 'F -4 3 m'
_symmetry_Int_Tables_number 216
_symmetry_space_group_name_Hall 'F -4 2 3'
_cell_length_a 6.572
_cell_length_b 6.572
_cell_length_c 6.572
_cell_angle_alpha 90.00
_cell_angle_beta 90.00
_cell_angle_gamma 90.00
loop_
_atom_site_label
_atom_site_fract_x
_atom_site_fract_y
_atom_site_fract_z
Na1 0.000 0.000 0.000
Tm1 0.250 0.250 0.250
Tc1 0.250 0.250 0.750
```


(3)
Material: PrTmAsO
Method: DFT, GGA-PBE
State: optimized geometry

Calculated values
E above lowest polymorph: 0.000 eV/atom

CIF file:
```
data_PrTmAsO
_chemical_formula_sum 'Pr2 Tm2 As2 O2'
_symmetry_space_group_name_H-M 'P m c 21'
_symmetry_Int_Tables_number 26
_cell_length_a 4.380
_cell_length_b 7.415
_cell_length_c 6.155
_cell_angle_alpha 90.00
_cell_angle_beta 90.00
_cell_angle_gamma 90.00
loop_
_symmetry_equiv_pos_as_xyz
'x,y,z'
'-x,-y,z+1/2'
'-x,y,z'
'x,-y,z+1/2'
loop_
_atom_site_label
_atom_site_fract_x
_atom_site_fract_y
_atom_site_fract_z
Pr1 0.000 0.203 0.000
Tm1 0.500 0.394 0.590
As1 0.000 0.190 0.493
O1 0.500 0.343 0.937
```


(4)
Material: CuAg3
Method: DFT, GGA-PBE
State: optimized geometry

Calculated values
ΔH_f (0 K): 0.3 eV/f.u.

CIF file:
```
data_CuAg3
_chemical_formula_sum 'Cu4 Ag12'
_symmetry_space_group_name_H-M 'C 1 2/m 1'
_symmetry_Int_Tables_number 12
_cell_length_a 9.923
_cell_length_b 5.758
_cell_length_c 4.926
_cell_angle_alpha 90.00
_cell_angle_beta 109.45
_cell_angle_gamma 90.00
loop_
_symmetry_equiv_pos_as_xyz
'x,y,z'
'-x,-y,-z'
'-x,y,-z'
'x,-y,z'
'x+1/2,y+1/2,z'
'-x+1/2,-y+1/2,-z'
'-x+1/2,y+1/2,-z'
'x+1/2,-y+1/2,z'
loop_
_atom_site_label
_atom_site_fract_x
_atom_site_fract_y
_atom_site_fract_z
Cu1 0.121 0.000 0.239
Ag1 0.124 0.245 0.753
Ag2 0.129 0.500 0.262
```